1.
Material: YHo3Pd6
Method: DFT, PBE-GGA
State: relaxed

Structure (POSCAR):
```
YHo3Pd6
1.0
8.0904 0.0000 0.0000
0.0000 4.6108 0.0000
-2.7068 0.0000 10.9649
Y Ho Pd
2 6 12
direct
0.0944 0.2500 0.4077
0.9056 0.7500 0.5923
0.1900 0.2500 0.9933
0.3629 0.7500 0.8142
0.4856 0.7500 0.3777
0.5144 0.2500 0.6223
0.6371 0.2500 0.1858
0.8100 0.7500 0.0067
0.0431 0.7500 0.8489
0.1450 0.7500 0.1854
0.1517 0.2500 0.7028
0.2704 0.7500 0.5573
0.3339 0.2500 0.2517
0.4381 0.7500 0.0823
0.5619 0.2500 0.9177
0.6661 0.7500 0.7483
0.7296 0.2500 0.4427
0.8483 0.7500 0.2972
0.8550 0.2500 0.8146
0.9569 0.2500 0.1511
```

For the total DFT energy (no corrections), the calculation gives -6.0027 eV per atom.

2.
Material: LaSbSe2
Method: DFT, PBE-GGA
State: relaxed

Structure (POSCAR):
```
LaSbSe2
1.0
2.1366 1.2336 8.9857
-2.1366 1.2336 8.9857
0.0000 -2.4671 8.9857
La Sb Se
1 1 2
direct
0.0000 0.0000 0.0000
0.5000 0.5000 0.5000
0.3956 0.3956 0.3956
0.6044 0.6044 0.6044
```

Its polymorph energy (0 for the lowest one) is 0.142 eV/atom. The value obtained for the uncorrected formation energy is -3.94 eV per formula unit.

3.
Material: Tb5DyIn8
Method: DFT, PBE-GGA
State: relaxed

Structure (POSCAR):
```
Tb5DyIn8
1.0
-4.6056 4.6056 4.5950
4.6056 -4.6056 4.5950
4.6056 4.6056 -4.5950
Tb Dy In
5 1 8
direct
0.0000 0.0000 0.0000
0.2514 0.1285 0.6283
0.3769 0.7486 0.8770
0.5002 0.6231 0.3717
0.8715 0.4998 0.1230
0.7500 0.2500 0.5000
0.1218 0.3749 0.9185
0.1237 0.3761 0.4178
0.2940 0.8763 0.2523
0.4564 0.2033 0.0815
0.6239 0.0417 0.7477
0.6251 0.5436 0.7470
0.7967 0.8782 0.2530
0.9583 0.7060 0.5822
```

For the total DFT energy (no corrections), the calculation gives -3.8910 eV per atom.

4.
Material: Pm2Ho2Ge
Method: DFT, PBE-GGA
State: relaxed

Structure (POSCAR):
```
Pm2Ho2Ge
1.0
-2.1014 2.1014 8.8688
2.1014 -2.1014 8.8688
2.1014 2.1014 -8.8688
Pm Ho Ge
2 2 1
direct
0.0837 0.0837 0.0000
0.9163 0.9163 0.0000
0.2500 0.7500 0.5000
0.7500 0.2500 0.5000
0.5000 0.5000 0.0000
```

For the total DFT energy (no corrections), the calculation gives -4.4317 eV per atom.

5.
Material: Ce3Sm3DyS8
Method: DFT, PBE-GGA
State: relaxed

Structure (POSCAR):
```
Ce3Sm3DyS8
1.0
4.0003 2.3096 6.5805
-4.0003 2.3096 6.5805
0.0000 -4.6192 6.5805
Ce Sm Dy S
3 3 1 8
direct
0.0000 0.5000 0.5000
0.5000 0.0000 0.5000
0.5000 0.5000 0.0000
0.0000 0.0000 0.5000
0.0000 0.5000 0.0000
0.5000 0.0000 0.0000
0.5000 0.5000 0.5000
0.2491 0.2491 0.2491
0.2536 0.7449 0.7449
0.2551 0.2551 0.7464
0.2551 0.7464 0.2551
0.7449 0.2536 0.7449
0.7449 0.7449 0.2536
0.7464 0.2551 0.2551
0.7509 0.7509 0.7509
```

The value obtained for the uncorrected formation energy is -30.79 eV per formula unit.

6.
Material: SmY2Sc
Method: DFT, PBE-GGA
State: relaxed

Structure (POSCAR):
```
SmY2Sc
1.0
0.0000 3.9551 3.9551
3.9551 0.0000 3.9551
3.9551 3.9551 0.0000
Sm Y Sc
1 2 1
direct
0.0000 0.0000 0.0000
0.2500 0.2500 0.2500
0.7500 0.7500 0.7500
0.5000 0.5000 0.5000
```

Its polymorph energy (0 for the lowest one) is 0.121 eV/atom.

7.
Material: Cr4FeAu
Method: DFT, PBE-GGA
State: relaxed

Structure (POSCAR):
```
Cr4FeAu
1.0
0.0000 3.3647 3.3647
3.3647 0.0000 3.3647
3.3647 3.3647 0.0000
Cr Fe Au
4 1 1
direct
0.1243 0.1243 0.1243
0.1243 0.1243 0.6272
0.1243 0.6272 0.1243
0.6272 0.1243 0.1243
0.7500 0.7500 0.7500
0.5000 0.5000 0.5000
```

For the total DFT energy (no corrections), the calculation gives -8.0938 eV per atom.

8.
Material: BaLaIn
Method: DFT, PBE-GGA
State: relaxed

Structure (POSCAR):
```
BaLaIn
1.0
5.6319 0.0000 0.0000
-2.8159 4.8774 0.0000
0.0000 0.0000 3.9670
Ba La In
1 1 1
direct
0.0000 0.0000 0.0000
0.3333 0.6667 0.6206
0.6667 0.3333 0.3887
```

Its polymorph energy (0 for the lowest one) is 0.141 eV/atom.

9.
Material: PmTm2Sc9
Method: DFT, PBE-GGA
State: relaxed

Structure (POSCAR):
```
PmTm2Sc9
1.0
3.0645 1.7693 10.3205
-3.0645 1.7693 10.3205
0.0000 -3.5386 10.3205
Pm Tm Sc
1 2 9
direct
0.0000 0.0000 0.0000
0.1493 0.1493 0.1493
0.8507 0.8507 0.8507
0.0808 0.5869 0.5869
0.3331 0.3331 0.3331
0.4131 0.4131 0.9192
0.4131 0.9192 0.4131
0.5000 0.5000 0.5000
0.5869 0.0808 0.5869
0.5869 0.5869 0.0808
0.6669 0.6669 0.6669
0.9192 0.4131 0.4131
```

For the total DFT energy (no corrections), the calculation gives -5.6384 eV per atom.

10.
Material: LaRe3H
Method: DFT, PBE-GGA
State: relaxed

Structure (POSCAR):
```
LaRe3H
1.0
4.2335 0.0000 0.0000
0.0000 4.2335 0.0000
0.0000 0.0000 4.2335
La Re H
1 3 1
direct
0.0000 0.0000 0.0000
0.0000 0.5000 0.5000
0.5000 0.0000 0.5000
0.5000 0.5000 0.0000
0.5000 0.5000 0.5000
```

Its polymorph energy (0 for the lowest one) is 0.000 eV/atom.

11.
Material: Si2PCl
Method: DFT, PBE-GGA
State: relaxed

Structure (POSCAR):
```
Si2PCl
1.0
-1.7498 2.2493 7.8454
1.7498 -2.2493 7.8454
1.7498 2.2493 -7.8454
Si P Cl
2 1 1
direct
0.0000 0.0000 0.0000
0.8888 0.3888 0.5000
0.8035 0.8035 0.0000
0.5577 0.0577 0.5000
```

Its polymorph energy (0 for the lowest one) is 0.306 eV/atom. The value obtained for the uncorrected formation energy is 1.31 eV per formula unit.

12.
Material: In2PAu
Method: DFT, PBE-GGA
State: relaxed

Structure (POSCAR):
```
In2PAu
1.0
2.9677 0.0000 0.0000
0.0000 3.7140 0.0000
0.0000 0.0000 7.7780
In P Au
2 1 1
direct
0.0000 0.0000 0.2429
0.0000 0.0000 0.7571
0.0000 0.5000 0.5000
0.5000 0.5000 0.0000
```

For the total DFT energy (no corrections), the calculation gives -3.4795 eV per atom.